Density functional theory data (PBE-GGA) for crystalline BaInAuS3 at its relaxed geometry.

Formation energy from raw total energies = -5.01 eV per formula unit
Crystal system = monoclinic
Total energy = -4.222 eV per atom

Cell: 13.644 7.348 7.673 Å, 90.00 113.41 90.00°
Space group C2/m (No. 12)
One atom of each set of equivalent atoms:
Ba: 0.222 0.000 0.215 [4 per cell]
In: 0.030 0.500 0.239 [4 per cell]
Au: 0.000 0.209 0.500 [4 per cell]
S: 0.092 0.239 0.829 [8 per cell]
S: 0.217 0.500 0.337 [4 per cell]